First-principles (GGA-PBE) data for a geometry-optimized Li3AgTe structure, as listed in Alexandria via LeMat-Bulk.

Cell and atoms, written as POSCAR:
```
Li3AgTe
1.0
5.220 0.000 0.000
0.000 5.220 0.000
0.000 0.000 5.220
Li Ag Te
3 1 1
direct
0.000 0.000 0.500 Li
0.000 0.500 0.000 Li
0.500 0.000 0.000 Li
0.500 0.500 0.500 Ag
0.000 0.000 0.000 Te
```

Values from the calculation:
* space group: Pm-3m (221)
* formation energy without anion corrections: -0.34 eV/atom
* size of the total moment: 0.00 μB/cell
* excess energy over the best structure of this formula in the dataset: 0.00 eV/f.u.



First-principles (GGA-PBE) data for a geometry-optimized TaAl2Os structure, as listed in Alexandria via LeMat-Bulk.

Cell and atoms, written as POSCAR:
```
TaAl2Os
1.0
1.538 -2.347 0.000
1.538 2.347 0.000
0.000 0.000 8.863
Ta Al Os
1 2 1
direct
0.000 0.000 0.000 Ta
0.000 0.000 0.520 Al
0.500 0.500 0.260 Al
0.500 0.500 0.751 Os
```

Values from the calculation:
* formation enthalpy at 0 K: 0.01 eV per atom
* space group: Cmm2 (35)
* size of the total moment: 0.00 μB/cell
* excess energy over the best structure of this formula in the dataset: 1.59 eV/f.u.



First-principles (GGA-PBE) data for a geometry-optimized Pm4PtRh3 structure, as listed in Alexandria via LeMat-Bulk.

Cell and atoms, written as POSCAR:
```
Pm4PtRh3
1.0
3.928 0.000 0.000
0.000 4.278 0.000
0.000 0.000 10.957
Pm Pt Rh
4 1 3
direct
0.000 0.000 0.000 Pm
0.000 0.500 0.276 Pm
0.500 0.000 0.493 Pm
0.500 0.500 0.780 Pm
0.000 0.000 0.720 Pt
0.000 0.500 0.549 Rh
0.500 0.000 0.223 Rh
0.500 0.500 0.049 Rh
```

Values from the calculation:
* formation enthalpy at 0 K: -0.83 eV per atom
* space group: Pmm2 (25)
* size of the total moment: 0.00 μB/cell



First-principles (GGA-PBE) data for a geometry-optimized Tb4SmTm2Sc structure, as listed in Alexandria via LeMat-Bulk.

Cell and atoms, written as POSCAR:
```
Tb4SmTm2Sc
1.0
6.082 0.000 0.000
0.000 3.524 0.000
-2.025 0.000 11.450
Tb Sm Tm Sc
4 1 2 1
direct
0.245 0.000 0.243 Tb
0.252 0.500 0.755 Tb
0.748 0.500 0.245 Tb
0.755 0.000 0.757 Tb
0.000 0.000 0.500 Sm
0.500 0.000 0.000 Tm
0.500 0.500 0.500 Tm
0.000 0.500 0.000 Sc
```

Values from the calculation:
* formation enthalpy at 0 K: 0.03 eV per atom
* space group: P2/m (10)
* size of the total moment: 0.00 μB/cell



First-principles (GGA-PBE) data for a geometry-optimized Ac2CePrP4 structure, as listed in Alexandria via LeMat-Bulk.

Cell and atoms, written as POSCAR:
```
Ac2CePrP4
1.0
7.433 0.000 0.000
0.000 4.295 0.000
-2.473 0.000 7.037
Ac Ce Pr P
2 1 1 4
direct
0.000 0.000 0.000 Ac
0.500 0.500 0.000 Ac
0.000 0.500 0.500 Ce
0.500 0.000 0.500 Pr
0.239 0.000 0.731 P
0.250 0.500 0.266 P
0.750 0.500 0.734 P
0.761 0.000 0.269 P
```

Values from the calculation:
* formation enthalpy at 0 K: -1.47 eV per atom
* space group: P2/m (10)
* size of the total moment: 0.56 μB/cell



First-principles (GGA-PBE) data for a geometry-optimized Y3HgN structure, as listed in Alexandria via LeMat-Bulk.

Cell and atoms, written as POSCAR:
```
Y3HgN
1.0
3.401 1.963 5.803
-3.401 1.963 5.803
0.000 -3.927 5.803
Y Hg N
6 2 2
direct
0.083 0.662 0.500 Y
0.338 0.500 0.917 Y
0.500 0.083 0.662 Y
0.500 0.917 0.338 Y
0.662 0.500 0.083 Y
0.917 0.338 0.500 Y
0.101 0.101 0.101 Hg
0.899 0.899 0.899 Hg
0.330 0.330 0.330 N
0.670 0.670 0.670 N
```

Values from the calculation:
* space group: R-3 (148)
* formation energy without anion corrections: -0.73 eV/atom
* size of the total moment: 0.00 μB/cell



First-principles (GGA-PBE) data for a geometry-optimized TcNiTe2 structure, as listed in Alexandria via LeMat-Bulk.

Cell and atoms, written as POSCAR:
```
TcNiTe2
1.0
0.000 3.311 3.311
3.311 0.000 3.311
3.311 3.311 0.000
Tc Ni Te
1 1 2
direct
0.000 0.000 0.000 Tc
0.500 0.500 0.500 Ni
0.250 0.250 0.250 Te
0.750 0.750 0.750 Te
```

Values from the calculation:
* space group: Fm-3m (225)
* formation energy without anion corrections: 0.37 eV/atom
* size of the total moment: 0.74 μB/cell
* excess energy over the best structure of this formula in the dataset: 1.43 eV/f.u.



First-principles (GGA-PBE) data for a geometry-optimized Ca2YPb9 structure, as listed in Alexandria via LeMat-Bulk.

Cell and atoms, written as POSCAR:
```
Ca2YPb9
1.0
4.915 0.000 0.000
0.000 4.915 0.000
0.000 0.000 14.784
Ca Y Pb
2 1 9
direct
0.000 0.000 0.169 Ca
0.000 0.000 0.831 Ca
0.000 0.000 0.500 Y
0.000 0.500 0.000 Pb
0.000 0.500 0.335 Pb
0.000 0.500 0.665 Pb
0.500 0.000 0.000 Pb
0.500 0.000 0.335 Pb
0.500 0.000 0.665 Pb
0.500 0.500 0.167 Pb
0.500 0.500 0.500 Pb
0.500 0.500 0.833 Pb
```

Values from the calculation:
* formation enthalpy at 0 K: -0.32 eV per atom
* space group: P4/mmm (123)
* size of the total moment: 0.00 μB/cell



Copy entry 1 word for word.
First-principles (GGA-PBE) data for a geometry-optimized Li3AgTe structure, as listed in Alexandria via LeMat-Bulk.

Cell and atoms, written as POSCAR:
```
Li3AgTe
1.0
5.220 0.000 0.000
0.000 5.220 0.000
0.000 0.000 5.220
Li Ag Te
3 1 1
direct
0.000 0.000 0.500 Li
0.000 0.500 0.000 Li
0.500 0.000 0.000 Li
0.500 0.500 0.500 Ag
0.000 0.000 0.000 Te
```

Values from the calculation:
* space group: Pm-3m (221)
* formation energy without anion corrections: -0.34 eV/atom
* size of the total moment: 0.00 μB/cell
* excess energy over the best structure of this formula in the dataset: 0.00 eV/f.u.



What did the second record say?
First-principles (GGA-PBE) data for a geometry-optimized TaAl2Os structure, as listed in Alexandria via LeMat-Bulk.

Cell and atoms, written as POSCAR:
```
TaAl2Os
1.0
1.538 -2.347 0.000
1.538 2.347 0.000
0.000 0.000 8.863
Ta Al Os
1 2 1
direct
0.000 0.000 0.000 Ta
0.000 0.000 0.520 Al
0.500 0.500 0.260 Al
0.500 0.500 0.751 Os
```

Values from the calculation:
* formation enthalpy at 0 K: 0.01 eV per atom
* space group: Cmm2 (35)
* size of the total moment: 0.00 μB/cell
* excess energy over the best structure of this formula in the dataset: 1.59 eV/f.u.